Compound: LaTb2Sb
Source: Alexandria
Functional: PBE
Structure: optimized geometry

Values from the calculation:
* density of states at the Fermi level: 6.27 states/eV per cell
* uncorrected formation energy: -0.49 eV per atom
* distance to the lowest polymorph of the same formula: 84 meV/atom

abc: 4.001 4.001 7.507
angles: 90.00 90.00 90.00
Atoms (fractional coordinates):
La 0.500 0.500 0.000
Tb 0.000 0.000 0.712
Tb 0.000 0.000 0.288
Sb 0.500 0.500 0.500

---

Compound: RbHgBiPb
Source: Alexandria
Functional: PBE
Structure: optimized geometry

Values from the calculation:
* distance to the lowest polymorph of the same formula: 0 meV/atom
* energy of formation: -172 meV per atom

abc: 5.002 5.002 8.121
angles: 72.06 72.06 60.00
Atoms (fractional coordinates):
Pb 0.636 0.636 0.091
Rb 0.813 0.813 0.560
Hg 0.245 0.245 0.266
Bi 0.032 0.032 0.905

---

Compound: YCuN3
Source: Alexandria
Functional: PBE
Structure: optimized geometry

Values from the calculation:
* density of states at the Fermi level: 6.97 states/eV per cell
* uncorrected formation energy: 1.79 eV per atom

abc: 4.351 4.351 4.351
angles: 90.00 90.00 90.00
Atoms (fractional coordinates):
N 0.000 0.500 0.000
N 0.000 0.000 0.500
N 0.500 0.000 0.000
Cu 0.500 0.500 0.500
Y 0.000 0.000 0.000

---

Compound: PmSm6Y6
Source: Alexandria
Functional: PBE
Structure: optimized geometry

Values from the calculation:
* density of states at the Fermi level: 22.02 states/eV per cell
* energy of formation: 220 meV per atom

abc: 6.684 6.684 11.048
angles: 90.00 90.00 115.07
Atoms (fractional coordinates):
Y 0.500 0.000 0.777
Y 0.500 0.000 0.223
Y 0.500 0.500 0.688
Y 0.000 0.500 0.777
Y 0.000 0.500 0.223
Y 0.500 0.500 0.312
Pm 0.000 0.000 0.000
Sm 0.640 0.360 0.000
Sm 0.000 0.000 0.327
Sm 0.750 0.250 0.500
Sm 0.360 0.640 0.000
Sm 0.000 0.000 0.673
Sm 0.250 0.750 0.500

---

Compound: La2AlRh2
Source: Alexandria
Functional: PBE
Structure: optimized geometry

Values from the calculation:
* density of states at the Fermi level: 5.45 states/eV per cell
* energy of formation: -820 meV per atom

abc: 5.916 5.916 7.806
angles: 77.21 77.21 58.06
Atoms (fractional coordinates):
Rh 0.003 0.737 0.009
Rh 0.997 0.263 0.991
Rh 0.737 0.003 0.509
Rh 0.263 0.997 0.491
La 0.209 0.496 0.649
La 0.791 0.504 0.351
La 0.504 0.791 0.851
La 0.496 0.209 0.149
Al 0.123 0.877 0.250
Al 0.877 0.123 0.750

---

Compound: PmDySc2Hg4
Source: Alexandria
Functional: PBE
Structure: optimized geometry

Values from the calculation:
* density of states at the Fermi level: 8.10 states/eV per cell
* energy of formation: -438 meV per atom

abc: 5.159 5.159 8.968
angles: 73.28 73.28 60.00
Each line ends with the local moment (μB).
Atoms (fractional coordinates):
Pm 0.000 0.000 0.000  0.11
Dy 0.500 0.500 0.500  0.07
Sc 0.250 0.250 0.251  0.21
Sc 0.750 0.750 0.749  0.21
Hg 0.377 0.377 0.868  0.01
Hg 0.873 0.873 0.380  0.01
Hg 0.127 0.127 0.620  0.01
Hg 0.623 0.623 0.132  0.01

---

Compound: TaPdWC
Source: Alexandria
Functional: PBE
Structure: optimized geometry

Values from the calculation:
* density of states at the Fermi level: 1.98 states/eV per cell
* distance to the lowest polymorph of the same formula: 40 meV/atom
* energy of formation: -189 meV per atom

abc: 3.012 3.012 7.054
angles: 90.00 90.00 120.00
Atoms (fractional coordinates):
C 0.667 0.333 0.047
Pd 0.667 0.333 0.537
W 0.333 0.667 0.218
Ta 0.000 0.000 0.862

---

Compound: Bi4RhPb2
Source: Alexandria
Functional: PBE
Structure: optimized geometry

Values from the calculation:
* density of states at the Fermi level: 3.67 states/eV per cell
* energy of formation: 34 meV per atom

abc: 4.053 6.308 8.842
angles: 107.09 90.00 90.00
Atoms (fractional coordinates):
Bi 0.500 0.382 0.096
Bi 0.000 0.900 0.253
Bi 0.000 0.243 0.747
Bi 0.500 0.761 0.904
Pb 0.500 0.303 0.450
Pb 0.500 0.840 0.551
Rh 0.000 0.071 0.000

---

Compound: KScMo2
Source: Alexandria
Functional: PBE
Structure: optimized geometry

Values from the calculation:
* density of states at the Fermi level: 3.65 states/eV per cell
* distance to the lowest polymorph of the same formula: 310 meV/atom
* energy of formation: 790 meV per atom

abc: 2.781 2.781 10.878
angles: 90.00 90.00 102.32
Atoms (fractional coordinates):
Sc 0.500 0.500 0.250
Mo 0.000 0.000 0.464
Mo 0.000 0.000 0.036
K 0.500 0.500 0.750

---

Compound: KNdH6Pd2
Source: Alexandria
Functional: PBE
Structure: optimized geometry

Values from the calculation:
* density of states at the Fermi level: 2.45 states/eV per cell
* electronic total energy: -3.922 eV/atom

abc: 6.372 6.372 6.658
angles: 92.52 92.52 85.97
Atoms (fractional coordinates):
H 0.044 0.777 0.621
H 0.544 0.348 0.902
H 0.652 0.456 0.598
H 0.348 0.544 0.402
H 0.456 0.652 0.098
H 0.741 0.725 0.858
H 0.223 0.956 0.879
H 0.259 0.275 0.142
H 0.725 0.741 0.358
H 0.777 0.044 0.121
H 0.275 0.259 0.642
H 0.956 0.223 0.379
Pd 0.364 0.167 0.893
Pd 0.167 0.364 0.393
Pd 0.636 0.833 0.107
Pd 0.833 0.636 0.607
K 0.869 0.131 0.750
K 0.131 0.869 0.250
Nd 0.631 0.369 0.250
Nd 0.369 0.631 0.750

---

Compound: NaSrLi2Au2
Source: Alexandria
Functional: PBE
Structure: optimized geometry

Values from the calculation:
* density of states at the Fermi level: 1.74 states/eV per cell
* energy of formation: -474 meV per atom

abc: 4.638 4.638 7.407
angles: 90.00 90.00 120.00
Atoms (fractional coordinates):
Li 0.333 0.667 0.341
Li 0.667 0.333 0.659
Na 0.000 0.000 0.500
Sr 0.000 0.000 0.000
Au 0.333 0.667 0.727
Au 0.667 0.333 0.273

---

Compound: Rb2Cd4In
Source: Alexandria
Functional: PBE
Structure: optimized geometry

Values from the calculation:
* density of states at the Fermi level: 3.80 states/eV per cell
* energy of formation: 96 meV per atom

abc: 5.666 5.666 10.311
angles: 74.05 74.05 90.00
Atoms (fractional coordinates):
Cd 0.000 0.500 0.000
Cd 0.837 0.837 0.325
Cd 0.163 0.163 0.675
Cd 0.500 0.000 0.000
In 0.000 0.000 0.000
Rb 0.357 0.357 0.285
Rb 0.643 0.643 0.715

---

Number 1: total moment 0.0 Bohr magnetons per cell, V 120.1 Å³/f.u., theoretical density 8.0 g cm⁻³. Number 2: total moment 0.0 Bohr magnetons per cell, V 164.5 Å³/f.u., theoretical density 7.1 g cm⁻³. Number 3: total moment 0.0 Bohr magnetons per cell, V 82.4 Å³/f.u., theoretical density 3.9 g cm⁻³. Number 4: total moment 0.0 Bohr magnetons per cell, V 447.0 Å³/f.u., theoretical density 5.9 g cm⁻³. Number 5: total moment 0.0 Bohr magnetons per cell, V 112.2 Å³/f.u., theoretical density 7.6 g cm⁻³. Number 6: total moment 0.9 Bohr magnetons per cell, V 195.0 Å³/f.u., theoretical density 10.2 g cm⁻³. Number 7: total moment 0.0 Bohr magnetons per cell, V 55.4 Å³/f.u., theoretical density 14.5 g cm⁻³. Number 8: total moment 0.0 Bohr magnetons per cell, V 216.1 Å³/f.u., theoretical density 10.4 g cm⁻³. Number 9: total moment 0.0 Bohr magnetons per cell, V 82.2 Å³/f.u., theoretical density 5.6 g cm⁻³. Number 10: total moment 0.0 Bohr magnetons per cell, V 134.6 Å³/f.u., theoretical density 5.0 g cm⁻³. Number 11: total moment 0.0 Bohr magnetons per cell, V 138.0 Å³/f.u., theoretical density 6.2 g cm⁻³. Number 12: total moment 0.0 Bohr magnetons per cell, V 305.0 Å³/f.u., theoretical density 4.0 g cm⁻³.